Entry 1:
VASP calculation (PBE) on a relaxed structure of PmSeF.

## Properties
Its energy above the lowest structure with this stoichiometry is 291 meV per atom. As for the volume: 281.4 Å³/cell. The value obtained for the total magnetic moment is 0.00 μB/f.u. The total energy comes out at -5.972 eV/atom. For the uncorrected formation energy, the calculation gives -2.6032 eV per atom.

a = 6.5528 Å, b = 6.5528 Å, c = 6.5528 Å
α = 90.00°, β = 90.00°, γ = 90.00°
Closest atoms and distances in Å follow each position.
Space group F-43m (No. 216)
Inequivalent atoms, fractional coordinates:
Pm1 0.0000 0.0000 0.0000  4 F 2.84, 4 Se 2.84
Se1 0.2500 0.2500 0.7500  4 Pm 2.84
F1 0.2500 0.2500 0.2500  4 Pm 2.84



Entry 2:
VASP calculation (PBE) on a relaxed structure of AcNd7Er2.

## Properties
Its energy above the lowest structure with this stoichiometry is 0 meV per atom. As for the volume: 730.0 Å³/cell. The value obtained for the total magnetic moment is 0.03 μB/f.u. The total energy comes out at -4.487 eV/atom. As for the formation energy: 1.74 eV/f.u.

a = 5.6056 Å, b = 7.8059 Å, c = 16.6841 Å
α = 90.00°, β = 90.00°, γ = 90.00°
Closest atoms and distances in Å follow each position.
Space group Immm (No. 71)
Inequivalent atoms, fractional coordinates:
Ac1 0.0000 0.0000 0.0000  2 Er 3.58, 8 Nd 3.90
Nd1 0.0000 0.0000 0.5000  4 Nd 3.21
Nd2 0.0000 0.2987 0.3677  2 Nd 3.14-3.21, 3 Er 3.46-3.50
Nd3 0.0000 0.5000 0.1586  2 Er 3.51, 8 Nd 3.67-3.85
Er1 0.0000 0.0000 0.2148  8 Nd 3.46-3.51, 1 Ac 3.58



Entry 3:
VASP calculation (PBE) on a relaxed structure of TaRe5.

## Properties
Its energy above the lowest structure with this stoichiometry is 73 meV per atom. As for the volume: 93.0 Å³/cell. The value obtained for the total magnetic moment is 0.00 μB/f.u. The total energy comes out at -12.255 eV/atom. As for the formation energy: 0.56 eV/f.u.

a = 4.8533 Å, b = 4.8533 Å, c = 4.5585 Å
α = 90.00°, β = 90.00°, γ = 120.00°
Closest atoms and distances in Å follow each position.
Space group P-62m (No. 189)
Inequivalent atoms, fractional coordinates:
Ta1 0.0000 0.0000 0.0000  12 Re 2.80-2.81
Re1 0.0000 0.6603 0.5000  10 Re 2.78-2.86, 2 Ta 2.81
Re2 0.3333 0.6667 0.0000  9 Re 2.79-2.80, 3 Ta 2.80



Entry 4:
VASP calculation (PBE) on a relaxed structure of MgRe2Hg.

## Properties
Its energy above the lowest structure with this stoichiometry is 809 meV per atom. As for the volume: 67.4 Å³/cell. The value obtained for the total magnetic moment is 0.00 μB/f.u. The total energy comes out at -5.703 eV/atom. As for the formation energy: 3.98 eV/f.u.

a = 4.9024 Å, b = 4.9024 Å, c = 2.8050 Å
α = 90.00°, β = 90.00°, γ = 90.00°
Closest atoms and distances in Å follow each position.
Space group P4/mmm (No. 123)
Inequivalent atoms, fractional coordinates:
Mg1 0.0000 0.0000 0.0000  2 Mg 2.80, 8 Re 2.82
Re1 0.0000 0.5000 0.5000  2 Re 2.80, 4 Hg 2.82, 4 Mg 2.82
Hg1 0.5000 0.5000 0.0000  2 Hg 2.80, 8 Re 2.82



Entry 5:
VASP calculation (PBE) on a relaxed structure of TaReAg2.

## Properties
Its energy above the lowest structure with this stoichiometry is 79 meV per atom. As for the volume: 69.3 Å³/cell. The value obtained for the total magnetic moment is 0.00 μB/f.u. The total energy comes out at -7.199 eV/atom. As for the formation energy: 1.21 eV/f.u.

a = 3.3260 Å, b = 3.3260 Å, c = 6.2685 Å
α = 90.00°, β = 90.00°, γ = 90.00°
Closest atoms and distances in Å follow each position.
Space group P4mm (No. 99)
Inequivalent atoms, fractional coordinates:
Ta1 0.0000 0.0000 0.0000  4 Re 2.66, 4 Ag 2.94
Re1 0.5000 0.5000 0.8017  4 Ta 2.66, 4 Ag 2.94
Ag1 0.0000 0.0000 0.5214  4 Ag 2.79, 4 Re 2.94, 1 Ta 3.00
Ag2 0.5000 0.5000 0.2821  4 Ag 2.79, 4 Ta 2.94, 1 Re 3.01



Entry 6:
VASP calculation (PBE) on a relaxed structure of KOsCl2.

## Properties
Its energy above the lowest structure with this stoichiometry is 344 meV per atom. As for the volume: 87.8 Å³/cell. The value obtained for the total magnetic moment is 0.58 μB/f.u. The total energy comes out at -3.799 eV/atom. For the uncorrected formation energy, the calculation gives 0.2063 eV per atom.

a = 3.0339 Å, b = 4.2164 Å, c = 6.8648 Å
α = 90.00°, β = 90.00°, γ = 90.00°
Closest atoms and distances in Å follow each position.
Space group Pmm2 (No. 25)
Inequivalent atoms, fractional coordinates:
K1 0.0000 0.0000 0.0000  5 Cl 3.00-3.04, 2 K 3.03
Os1 0.5000 0.5000 0.4217  5 Cl 2.40-2.60
Cl1 0.0000 0.0000 0.4363  4 Os 2.60
Cl2 0.5000 0.5000 0.7707  1 Os 2.40